Here is LiLa2TeS6 after structural relaxation from the Alexandria database. Energies are from GGA-PBE.

Geometry as CIF:
```
data_LiLa2TeS6
_cell_length_a 6.666
_cell_length_b 7.322
_cell_length_c 11.408
_cell_angle_alpha 90.00
_cell_angle_beta 124.16
_cell_angle_gamma 90.00
_symmetry_space_group_name_H-M 'P 1 21/c 1'
_symmetry_Int_Tables_number 14
loop_
_symmetry_equiv_pos_as_xyz
'x,y,z'
'-x,-y,-z'
'-x,y+1/2,-z+1/2'
'x,-y+1/2,z+1/2'
loop_
_atom_site_label
_atom_site_type_symbol
_atom_site_fract_x
_atom_site_fract_y
_atom_site_fract_z
Li1 Li 0.000 0.000 0.000
La1 La 0.213 0.101 0.748
Te1 Te 0.500 0.000 0.500
S1 S 0.125 0.181 0.444
S2 S 0.269 0.691 0.445
S3 S 0.371 0.034 0.244
```

Electronic total energy in eV/cell: -103.61
Magnetic moment in μB/f.u.: 0.0

Here is RbPuTi2O8 after structural relaxation from the Alexandria database. Energies are from GGA-PBE.

Geometry as CIF:
```
data_RbPuTi2O8
_cell_length_a 8.694
_cell_length_b 6.269
_cell_length_c 7.573
_cell_angle_alpha 90.00
_cell_angle_beta 107.15
_cell_angle_gamma 90.00
_symmetry_space_group_name_H-M 'C 1 2/m 1'
_symmetry_Int_Tables_number 12
loop_
_symmetry_equiv_pos_as_xyz
'x,y,z'
'-x,-y,-z'
'-x,y,-z'
'x,-y,z'
'x+1/2,y+1/2,z'
'-x+1/2,-y+1/2,-z'
'-x+1/2,y+1/2,-z'
'x+1/2,-y+1/2,z'
loop_
_atom_site_label
_atom_site_type_symbol
_atom_site_fract_x
_atom_site_fract_y
_atom_site_fract_z
Rb1 Rb 0.000 0.000 0.000
Pu1 Pu 0.000 0.000 0.500
Ti1 Ti 0.035 0.500 0.197
O1 O 0.008 0.244 0.307
O2 O 0.144 0.500 0.017
O3 O 0.220 0.000 0.592
```

Electronic total energy in eV/cell: -202.37
Magnetic moment in μB/f.u.: 1.0

Here is BaMg2SnH after structural relaxation from the Alexandria database. Energies are from GGA-PBE.

Geometry as CIF:
```
data_BaMg2SnH
_cell_length_a 4.610
_cell_length_b 12.848
_cell_length_c 8.441
_cell_angle_alpha 90.00
_cell_angle_beta 90.00
_cell_angle_gamma 90.00
_symmetry_space_group_name_H-M 'C m c m'
_symmetry_Int_Tables_number 63
_symmetry_space_group_name_Hall '-C 2c 2'
loop_
_atom_site_label
_atom_site_type_symbol
_atom_site_fract_x
_atom_site_fract_y
_atom_site_fract_z
Ba1 Ba 0.000 0.047 0.250
Mg1 Mg 0.000 0.337 0.059
Sn1 Sn 0.000 0.232 0.750
H1 H 0.000 0.500 0.000
```

Electronic total energy in eV/cell: -55.93
Magnetic moment in μB/f.u.: 0.0

Here is YHgBr2 after structural relaxation from the Alexandria database. Energies are from GGA-PBE.

Geometry as CIF:
```
data_YHgBr2
_cell_length_a 3.805
_cell_length_b 3.805
_cell_length_c 8.317
_cell_angle_alpha 90.00
_cell_angle_beta 90.00
_cell_angle_gamma 90.00
_symmetry_space_group_name_H-M 'P 4 m m'
_symmetry_Int_Tables_number 99
loop_
_symmetry_equiv_pos_as_xyz
'x,y,z'
'-y,x,z'
'-x,-y,z'
'y,-x,z'
'-x,y,z'
'y,x,z'
'x,-y,z'
'-y,-x,z'
loop_
_atom_site_label
_atom_site_type_symbol
_atom_site_fract_x
_atom_site_fract_y
_atom_site_fract_z
Y1 Y 0.000 0.000 0.000
Hg1 Hg 0.500 0.500 0.796
Br1 Br 0.000 0.000 0.625
Br2 Br 0.500 0.500 0.205
```

Electronic total energy in eV/cell: -13.75
Polymorph energy (0 for the lowest one) in eV/atom: 0.274
Magnetic moment in μB/f.u.: 0.0